Entry from the Alexandria database: crystalline Zn2CrFe at its relaxed geometry (PBE).

The space group is Cmm2 (No. 35) and the conventional cell measures 2.9847, 4.0746 and 8.4129 Å, with angles of 90.00, 90.00 and 90.00 degrees. Symmetry generates all atoms from Zn at (0.0000, 0.0000, 0.0000), Zn at (0.0000, 0.5000, 0.2758), Cr at (0.0000, 0.5000, 0.7466) and Fe at (0.0000, 0.0000, 0.5225).

For the uncorrected energy, the calculation gives -40.44 eV/cell. Its crystal system is orthorhombic.